(1)
Zn2Au: relaxed, GGA-PBE.

Unit cell a=7.3802 b=7.3802 c=3.1477 alpha=90.00 beta=90.00 gamma=120.00
Last column: nearest neighbours and their distance in Å.
Element x y z (fractional)
Zn 0.0000 0.2903 0.0000  4 Au 2.63-2.66, 2 Zn 2.94
Zn 0.0000 0.6267 0.5000  5 Au 2.76-2.81, 6 Zn 2.94-2.96
Zn 0.2903 0.0000 0.0000  4 Au 2.63-2.66, 2 Zn 2.94
Zn 0.3733 0.3733 0.5000  5 Au 2.76-2.81, 6 Zn 2.94-2.96
Zn 0.6267 0.0000 0.5000  5 Au 2.76-2.81, 6 Zn 2.94-2.96
Zn 0.7097 0.7097 0.0000  4 Au 2.63-2.66, 2 Zn 2.94
Au 0.0000 0.0000 0.5000  9 Zn 2.66-2.76
Au 0.3333 0.6667 0.0000  9 Zn 2.63-2.81
Au 0.6667 0.3333 0.0000  9 Zn 2.63-2.81

Computed properties:
calculated total energy = -2.108 eV/atom
SG = P-62m
calculated formation energy = -0.166 eV/atom

(2)
MnP2Br: relaxed, GGA-PBE.

Unit cell a=3.0539 b=4.6778 c=10.0682 alpha=90.00 beta=90.00 gamma=90.00
Last column: nearest neighbours and their distance in Å.
Element x y z (fractional)
Mn 0.0000 0.0000 0.0000  4 P 2.45
Mn 0.5000 0.5000 0.5000  4 P 2.45
P 0.0000 0.5000 0.3102  2 Mn 2.45
P 0.0000 0.5000 0.6898  2 Mn 2.45
P 0.5000 0.0000 0.1898  2 Mn 2.45
P 0.5000 0.0000 0.8102  2 Mn 2.45
Br 0.0000 0.0000 0.5000  4 Mn 2.79, 4 P 3.02, 2 Br 3.05
Br 0.5000 0.5000 0.0000  4 Mn 2.79, 4 P 3.02, 2 Br 3.05

Computed properties:
calculated total energy = -4.937 eV/atom
formation energy (no corrections) = 0.48 eV per atom
SG = Immm

(3)
CdReSb: relaxed, GGA-PBE.

Unit cell a=6.4134 b=6.4134 c=6.4134 alpha=90.00 beta=90.00 gamma=90.00
Last column: nearest neighbours and their distance in Å.
Element x y z (fractional)
Cd 0.0000 0.0000 0.0000  4 Re 2.78
Cd 0.0000 0.5000 0.5000  4 Re 2.78
Cd 0.5000 0.0000 0.5000  4 Re 2.78
Cd 0.5000 0.5000 0.0000  4 Re 2.78
Re 0.2500 0.2500 0.2500  4 Cd 2.78, 4 Sb 2.78
Re 0.2500 0.7500 0.7500  4 Cd 2.78, 4 Sb 2.78
Re 0.7500 0.2500 0.7500  4 Cd 2.78, 4 Sb 2.78
Re 0.7500 0.7500 0.2500  4 Cd 2.78, 4 Sb 2.78
Sb 0.0000 0.0000 0.5000  4 Re 2.78
Sb 0.0000 0.5000 0.0000  4 Re 2.78
Sb 0.5000 0.0000 0.0000  4 Re 2.78
Sb 0.5000 0.5000 0.5000  4 Re 2.78

Computed properties:
calculated total energy = -5.162 eV/atom
formation energy (no corrections) = 0.67 eV per atom
SG = F-43m

(4)
Pu3Te2Cl2: relaxed, GGA-PBE.

Unit cell a=14.3323 b=4.3485 c=7.1521 alpha=90.00 beta=103.82 gamma=90.00
Last column: nearest neighbours and their distance in Å.
Element x y z (fractional)
Pu 0.0000 0.0000 0.0000  2 Cl 2.84, 4 Te 3.12
Pu 0.2462 0.5000 0.2543  3 Cl 2.86-2.87, 3 Te 3.13-3.16
Pu 0.2538 0.0000 0.7457  3 Cl 2.86-2.87, 3 Te 3.13-3.16
Pu 0.5000 0.5000 0.0000  2 Cl 2.84, 4 Te 3.12
Pu 0.7462 0.0000 0.2543  3 Cl 2.86-2.87, 3 Te 3.13-3.16
Pu 0.7538 0.5000 0.7457  3 Cl 2.86-2.87, 3 Te 3.13-3.16
Te 0.1133 0.5000 0.8327  5 Pu 3.12-3.16
Te 0.3867 0.0000 0.1673  5 Pu 3.12-3.16
Te 0.6133 0.0000 0.8327  5 Pu 3.12-3.16
Te 0.8867 0.5000 0.1673  5 Pu 3.12-3.16
Cl 0.1389 0.0000 0.3582  4 Pu 2.84-2.87
Cl 0.3611 0.5000 0.6418  4 Pu 2.84-2.87
Cl 0.6389 0.5000 0.3582  4 Pu 2.84-2.87
Cl 0.8611 0.0000 0.6418  4 Pu 2.84-2.87

Computed properties:
calculated total energy = -8.883 eV/atom
formation energy (no corrections) = -1.32 eV per atom
SG = C2/m

(5)
Nd2HfIn: relaxed, GGA-PBE.

Unit cell a=3.3108 b=3.3108 c=36.2032 alpha=90.00 beta=90.00 gamma=120.00
Last column: nearest neighbours and their distance in Å.
Element x y z (fractional)
Nd 0.0000 0.0000 0.0883  1 Hf 3.20, 6 Nd 3.31, 3 In 3.42
Nd 0.0000 0.0000 0.9117  1 Hf 3.20, 6 Nd 3.31, 3 In 3.42
Nd 0.3333 0.6667 0.5784  1 Hf 3.20, 6 Nd 3.31, 3 In 3.42
Nd 0.3333 0.6667 0.7549  1 Hf 3.20, 6 Nd 3.31, 3 In 3.42
Nd 0.6667 0.3333 0.2451  1 Hf 3.20, 6 Nd 3.31, 3 In 3.42
Nd 0.6667 0.3333 0.4216  1 Hf 3.20, 6 Nd 3.31, 3 In 3.42
Hf 0.0000 0.0000 0.0000  2 Nd 3.20, 6 Hf 3.31
Hf 0.3333 0.6667 0.6667  2 Nd 3.20, 6 Hf 3.31
Hf 0.6667 0.3333 0.3333  2 Nd 3.20, 6 Hf 3.31
In 0.0000 0.0000 0.5000  6 In 3.31, 6 Nd 3.42
In 0.3333 0.6667 0.1667  6 In 3.31, 6 Nd 3.42
In 0.6667 0.3333 0.8333  6 In 3.31, 6 Nd 3.42

Computed properties:
calculated total energy = -5.289 eV/atom
SG = R-3m
calculated formation energy = 0.268 eV/atom

(6)
Li3GaOs: relaxed, GGA-PBE.

Unit cell a=4.7069 b=4.7069 c=4.7069 alpha=90.00 beta=90.00 gamma=90.00
Last column: nearest neighbours and their distance in Å.
Element x y z (fractional)
Li 0.0000 0.0000 0.5000  2 Os 2.35
Li 0.0000 0.5000 0.0000  2 Os 2.35
Li 0.5000 0.0000 0.0000  2 Os 2.35
Ga 0.5000 0.5000 0.5000  12 Li 3.33
Os 0.0000 0.0000 0.0000  6 Li 2.35

Computed properties:
calculated total energy = -3.020 eV/atom
SG = Pm-3m
calculated formation energy = 0.979 eV/atom

> Number 5 is which compound?

Nd2HfIn